(1)
The following is a DFT calculation (PBE) of crystalline Pr5Tm4Th at its relaxed geometry.

Structure (CIF):
```
data_Pr5Tm4Th
_cell_length_a 18.309
_cell_length_b 3.580
_cell_length_c 10.628
_cell_angle_alpha 90.00
_cell_angle_beta 96.76
_cell_angle_gamma 90.00
_space_group_name_H-M_alt 'C 1 2/m 1'
_space_group_IT_number 12
loop_
_space_group_symop_operation_xyz
'x,y,z'
'-x,-y,-z'
'-x,y,-z'
'x,-y,z'
'x+1/2,y+1/2,z'
'-x+1/2,-y+1/2,-z'
'-x+1/2,y+1/2,-z'
'x+1/2,-y+1/2,z'
loop_
_atom_site_label
_atom_site_fract_x
_atom_site_fract_y
_atom_site_fract_z
_atom_site_occupancy
Pr1 0.000 0.000 0.000 1
Pr2 0.138 0.500 0.718 1
Pr3 0.190 0.500 0.101 1
Tm1 0.047 0.500 0.264 1
Tm2 0.180 0.000 0.417 1
Th1 0.000 0.000 0.500 1
```

Computed properties:
D(E_F), states/eV/atom: 1.427
Energy of formation, kJ/mol of atoms: 13.5
DFT total energy, eV per atom: -4.78

=====

(2)
The following is a DFT calculation (PBE) of crystalline RbTlPb at its relaxed geometry.

Structure (CIF):
```
data_RbTlPb
_cell_length_a 4.708
_cell_length_b 7.457
_cell_length_c 7.994
_cell_angle_alpha 97.31
_cell_angle_beta 107.07
_cell_angle_gamma 108.27
_space_group_name_H-M_alt 'P -1'
_space_group_IT_number 2
loop_
_space_group_symop_operation_xyz
'x,y,z'
'-x,-y,-z'
loop_
_atom_site_label
_atom_site_fract_x
_atom_site_fract_y
_atom_site_fract_z
_atom_site_occupancy
Rb1 0.215 0.150 0.276 1
Tl1 0.017 0.374 0.657 1
Pb1 0.359 0.664 0.057 1
```

Computed properties:
D(E_F), states/eV/atom: 0.540
Energy of formation, kJ/mol of atoms: -12.2
DFT total energy, eV per atom: -2.47

=====

(3)
The following is a DFT calculation (PBE) of crystalline Sc3AlO at its relaxed geometry.

Structure (CIF):
```
data_Sc3AlO
_cell_length_a 4.373
_cell_length_b 6.258
_cell_length_c 7.692
_cell_angle_alpha 90.00
_cell_angle_beta 104.44
_cell_angle_gamma 90.00
_space_group_name_H-M_alt 'P 1 21/m 1'
_space_group_IT_number 11
loop_
_space_group_symop_operation_xyz
'x,y,z'
'-x,-y,-z'
'-x,y+1/2,-z'
'x,-y+1/2,z'
loop_
_atom_site_label
_atom_site_fract_x
_atom_site_fract_y
_atom_site_fract_z
_atom_site_occupancy
Sc1 0.082 0.250 0.111 1
Sc2 0.312 0.507 0.642 1
Al1 0.151 0.750 0.273 1
O1 0.396 0.750 0.825 1
```

Computed properties:
Formation energy (no corrections), eV per atom: -1.152
D(E_F), states/eV/atom: 0.573
DFT total energy, eV per atom: -6.69

=====

(4)
The following is a DFT calculation (PBE) of crystalline Sm4Mg5In2 at its relaxed geometry.

Structure (CIF):
```
data_Sm4Mg5In2
_cell_length_a 8.177
_cell_length_b 3.567
_cell_length_c 10.604
_cell_angle_alpha 90.00
_cell_angle_beta 94.28
_cell_angle_gamma 90.00
_space_group_name_H-M_alt 'P 1 2/m 1'
_space_group_IT_number 10
loop_
_space_group_symop_operation_xyz
'x,y,z'
'-x,-y,-z'
'-x,y,-z'
'x,-y,z'
loop_
_atom_site_label
_atom_site_fract_x
_atom_site_fract_y
_atom_site_fract_z
_atom_site_occupancy
Sm1 0.159 0.000 0.385 1
Sm2 0.277 0.000 0.944 1
Mg1 0.198 0.500 0.666 1
Mg2 0.432 0.500 0.208 1
Mg3 0.500 0.500 0.500 1
In1 0.059 0.500 0.136 1
```

Computed properties:
D(E_F), states/eV/atom: 0.941
Energy of formation, kJ/mol of atoms: -15.4
DFT total energy, eV per atom: -3.10

=====

> The highest D(E_F) belongs to which entry?

Pr5Tm4Th